La2PrThP4 after structural relaxation, computed with PBE.

CIF file:
```
data_La2PrThP4
_chemical_formula_sum 'La2 Pr1 Th1 P4'
_cell_length_a 7.2995
_cell_length_b 4.2182
_cell_length_c 7.3174
_cell_angle_alpha 90.00
_cell_angle_beta 109.39
_cell_angle_gamma 90.00
_space_group_name_H-M_alt 'P 1 2/m 1'
_space_group_IT_number 10
_space_group_name_Hall '-P 2y'
loop_
_atom_site_label
_atom_site_type_symbol
_atom_site_fract_x
_atom_site_fract_y
_atom_site_fract_z
La1 La 0.0000 0.0000 0.0000
La2 La 0.5000 0.5000 0.0000
Pr1 Pr 0.0000 0.5000 0.5000
Th1 Th 0.5000 0.0000 0.5000
P1 P 0.2527 0.0000 0.7445
P2 P 0.2564 0.5000 0.2581
```

## Properties
The calculation puts the total energy at -56.37 eV for the cell shown. The value obtained for the volume is 26.6 A^3/atom. The total magnetization is 0.0 μB per cell. For the energy of formation, the calculation gives -1223.2 kJ/mol of formula units. Its calculated density is 6.05 g/cm3.

La4PrTh3P8 after structural relaxation, computed with PBE.

CIF file:
```
data_La4PrTh3P8
_chemical_formula_sum 'La12 Pr3 Th9 P24'
_cell_length_a 8.4171
_cell_length_b 8.4171
_cell_length_c 20.6776
_cell_angle_alpha 90.00
_cell_angle_beta 90.00
_cell_angle_gamma 120.00
_space_group_name_H-M_alt 'R -3 m'
_space_group_IT_number 166
_space_group_name_Hall '-R 3 2"'
loop_
_atom_site_label
_atom_site_type_symbol
_atom_site_fract_x
_atom_site_fract_y
_atom_site_fract_z
La1 La 0.0000 0.0000 0.0000
La2 La 0.0000 0.5000 0.0000
Pr1 Pr 0.0000 0.0000 0.5000
Th1 Th 0.0000 0.5000 0.5000
P1 P 0.0000 0.0000 0.2467
P2 P 0.0040 0.5020 0.7527
```

## Properties
The calculation puts the total energy at -346.32 eV for the cell shown. The value obtained for the volume is 26.4 A^3/atom. The total magnetization is 0.0 μB per cell. For the energy of formation, the calculation gives -2451.8 kJ/mol of formula units. Its calculated density is 6.44 g/cm3.

LaPr2ThP4 after structural relaxation, computed with PBE.

CIF file:
```
data_LaPr2ThP4
_chemical_formula_sum 'La1 Pr2 Th1 P4'
_cell_length_a 7.2709
_cell_length_b 4.2039
_cell_length_c 7.2855
_cell_angle_alpha 90.00
_cell_angle_beta 109.43
_cell_angle_gamma 90.00
_space_group_name_H-M_alt 'P 1 2/m 1'
_space_group_IT_number 10
_space_group_name_Hall '-P 2y'
loop_
_atom_site_label
_atom_site_type_symbol
_atom_site_fract_x
_atom_site_fract_y
_atom_site_fract_z
La1 La 0.0000 0.0000 0.0000
Pr1 Pr 0.5000 0.0000 0.5000
Pr2 Pr 0.5000 0.5000 0.0000
Th1 Th 0.0000 0.5000 0.5000
P1 P 0.2454 0.0000 0.7438
P2 P 0.2479 0.5000 0.2548
```

## Properties
The calculation puts the total energy at -56.10 eV for the cell shown. The value obtained for the volume is 26.3 A^3/atom. The total magnetization is 0.0 μB per cell. For the energy of formation, the calculation gives -1211.1 kJ/mol of formula units. Its calculated density is 6.14 g/cm3.

LaPr3Th2P6 after structural relaxation, computed with PBE.

CIF file:
```
data_LaPr3Th2P6
_chemical_formula_sum 'La2 Pr6 Th4 P12'
_cell_length_a 7.2660
_cell_length_b 12.5949
_cell_length_c 7.2515
_cell_angle_alpha 90.00
_cell_angle_beta 109.50
_cell_angle_gamma 90.00
_space_group_name_H-M_alt 'C 1 2/m 1'
_space_group_IT_number 12
_space_group_name_Hall '-C 2y'
loop_
_atom_site_label
_atom_site_type_symbol
_atom_site_fract_x
_atom_site_fract_y
_atom_site_fract_z
La1 La 0.0000 0.0000 0.0000
Pr1 Pr 0.0000 0.1654 0.5000
Pr2 Pr 0.0000 0.5000 0.5000
Th1 Th 0.0000 0.3330 0.0000
P1 P 0.2422 0.5000 0.2449
P2 P 0.2485 0.3305 0.7546
```

## Properties
The calculation puts the total energy at -170.79 eV for the cell shown. The value obtained for the volume is 26.1 A^3/atom. The total magnetization is 0.0 μB per cell. For the energy of formation, the calculation gives -1816.7 kJ/mol of formula units. Its calculated density is 6.43 g/cm3.